Material: Ti2CuNi2
Method: DFT, PBE
State: optimized geometry

a = 4.4767 Å, b = 5.8332 Å, c = 5.6813 Å
α = 90.00°, β = 90.00°, γ = 90.00°
Atoms (fractional coordinates):
Ti (0.0000, 0.0000, 0.2462)
Ti (0.0000, 0.0000, 0.7538)
Ti (0.5000, 0.5000, 0.2462)
Ti (0.5000, 0.5000, 0.7538)
Cu (0.0000, 0.5000, 0.0000)
Cu (0.5000, 0.0000, 0.0000)
Ni (0.0000, 0.3117, 0.5000)
Ni (0.0000, 0.6883, 0.5000)
Ni (0.5000, 0.1883, 0.5000)
Ni (0.5000, 0.8117, 0.5000)

Formation energy ... 0.32 eV per formula unit
Relative energy among the computed polymorphs ... 357 meV/atom
DOS(E_F) ... 11.8 states/eV/cell
Space group ... Cmmm (65)